[1]
Crystalline Be9Nb2Ni at its relaxed geometry. Source: the Alexandria database, functional PBE.

For the theoretical density, the calculation gives 4.39 g/cm³. The value obtained for the formation energy from the elements is -0.085 eV/atom. As for the total magnetization: 0.0 μB per cell. Its space group is P6_3/mmc, No. 194.

```
Be9Nb2Ni
1.0
-3.270 1.953 -2.413
3.060 -2.605 -2.044
-8.162 -11.173 2.018
Be Ni Nb
18 2 4
direct
0.000 0.000 0.250
0.834 0.668 0.873
0.166 0.332 0.373
0.834 0.166 0.873
0.333 0.667 0.250
0.668 0.834 0.373
0.834 0.668 0.627
0.668 0.834 0.127
0.332 0.166 0.873
0.000 0.000 0.000
0.667 0.333 0.750
0.166 0.332 0.127
0.000 0.000 0.500
0.166 0.834 0.373
0.000 0.000 0.750
0.166 0.834 0.127
0.332 0.166 0.627
0.834 0.166 0.627
0.333 0.667 0.750
0.667 0.333 0.250
0.667 0.333 0.034
0.333 0.667 0.534
0.667 0.333 0.466
0.333 0.667 0.966
```

[2]
Crystalline BeNb2Ni9 at its relaxed geometry. Source: the Alexandria database, functional PBE.

For the theoretical density, the calculation gives 8.56 g/cm³. The value obtained for the formation energy from the elements is -0.249 eV/atom. As for the total magnetization: 0.0 μB per cell. Its space group is P4/mmm, No. 123.

```
BeNb2Ni9
1.0
-2.752 2.150 1.037
-0.594 -2.150 2.880
6.706 5.822 5.729
Ni Nb Be
9 2 1
direct
0.500 0.000 0.152
0.000 0.500 0.152
0.000 0.500 0.848
0.500 0.500 0.328
0.000 0.500 0.500
0.500 0.000 0.848
0.500 0.500 0.672
0.500 0.500 0.000
0.500 0.000 0.500
0.000 0.000 0.319
0.000 0.000 0.681
0.000 0.000 0.000
```

[3]
Crystalline BeNbNi5 at its relaxed geometry. Source: the Alexandria database, functional PBE.

For the theoretical density, the calculation gives 8.03 g/cm³. The value obtained for the formation energy from the elements is -0.219 eV/atom. As for the total magnetization: 0.0 μB per cell. Its space group is P4/mmm, No. 123.

```
BeNbNi5
1.0
3.638 0.000 0.000
0.000 3.638 0.000
0.000 0.000 6.179
Nb Ni Be
1 5 1
direct
0.000 0.000 0.500
0.500 0.500 0.500
0.500 0.000 0.796
0.500 0.000 0.204
0.000 0.500 0.204
0.000 0.500 0.796
0.500 0.500 0.000
```

[4]
Crystalline Be2Nb2ZnNi5 at its relaxed geometry. Source: the Alexandria database, functional PBE.

For the theoretical density, the calculation gives 7.90 g/cm³. The value obtained for the formation energy from the elements is -0.245 eV/atom. As for the total magnetization: 0.0 μB per cell. Its space group is P4/mbm, No. 127.

```
Be2Nb2ZnNi5
1.0
2.808 0.000 0.000
0.000 9.177 0.000
0.000 0.000 9.177
Zn Ni Be Nb
2 10 4 4
direct
0.000 0.500 0.500
0.000 0.000 0.000
0.500 0.058 0.789
0.500 0.789 0.942
0.500 0.711 0.442
0.500 0.000 0.500
0.500 0.289 0.558
0.500 0.442 0.289
0.500 0.558 0.711
0.500 0.211 0.058
0.500 0.500 0.000
0.500 0.942 0.211
0.000 0.878 0.378
0.000 0.378 0.122
0.000 0.622 0.878
0.000 0.122 0.622
0.000 0.679 0.179
0.000 0.321 0.821
0.000 0.179 0.321
0.000 0.821 0.679
```

[5]
Crystalline NpBe17Nb at its relaxed geometry. Source: the Alexandria database, functional PBE.

For the theoretical density, the calculation gives 4.45 g/cm³. The value obtained for the formation energy from the elements is -0.077 eV/atom. As for the total magnetization: 3.4 μB per cell. Its space group is R3m, No. 160.

```
NpBe17Nb
1.0
-3.988 1.916 3.578
-4.386 -0.263 -3.615
-1.977 -5.075 1.647
Be Np Nb
17 1 1
direct
0.655 0.655 0.159
0.002 0.712 0.285
0.002 0.285 0.712
0.712 0.285 0.002
0.159 0.655 0.655
0.341 0.843 0.341
0.655 0.159 0.655
0.907 0.907 0.907
0.712 0.002 0.285
0.002 0.002 0.499
0.499 0.002 0.002
0.843 0.341 0.341
0.099 0.099 0.099
0.285 0.712 0.002
0.285 0.002 0.712
0.341 0.341 0.843
0.002 0.499 0.002
0.662 0.662 0.662
0.335 0.335 0.335
```

[6]
Crystalline BeNbO3 at its relaxed geometry. Source: the Alexandria database, functional PBE.

For the theoretical density, the calculation gives 6.32 g/cm³. As for the total magnetization: 0.0 μB per cell. The value obtained for the final energy is -37.23 eV per cell. Its space group is Pm-3m, No. 221.

```
BeNbO3
1.0
3.402 0.000 0.000
0.000 3.402 0.000
0.000 0.000 3.402
O Nb Be
3 1 1
direct
0.000 0.500 0.000
0.000 0.000 0.500
0.500 0.000 0.000
0.500 0.500 0.500
0.000 0.000 0.000
```

[7]
Crystalline BeNbO3 at its relaxed geometry. Source: the Alexandria database, functional PBE.

For the theoretical density, the calculation gives 4.01 g/cm³. As for the total magnetization: 0.7 μB per cell. The value obtained for the final energy is -35.33 eV per cell. Its space group is Pm-3m, No. 221.

```
BeNbO3
1.0
3.961 0.000 0.000
0.000 3.961 0.000
0.000 0.000 3.961
Be O Nb
1 3 1
direct
0.500 0.500 0.500
0.500 0.000 0.000
0.000 0.000 0.500
0.000 0.500 0.000
0.000 0.000 0.000
```

[8]
Crystalline BeNb3O at its relaxed geometry. Source: the Alexandria database, functional PBE.

For the theoretical density, the calculation gives 6.79 g/cm³. As for the total magnetization: 0.0 μB per cell. The calculation puts the offset from the most stable computed form at 0.00 kcal/mol of atoms. Its space group is Pm-3m, No. 221.

```
BeNb3O
1.0
4.203 0.000 0.000
0.000 4.203 0.000
0.000 0.000 4.203
Be Nb O
1 3 1
direct
0.500 0.500 0.500
0.000 0.500 0.000
0.000 0.000 0.500
0.500 0.000 0.000
0.000 0.000 0.000
```